No. 1
Computed, not measured: an optimized crystal structure of YIn2Hg at the PBEsol level of DFT.

Summary:
* crystal system: orthorhombic
* calculated volume: 24.18 Å³/atom

Cell and atoms, written as POSCAR:
```
YIn2Hg
1.0
3.654 0.000 0.000
0.000 3.862 0.000
0.000 0.000 6.854
Y In Hg
1 2 1
Direct
0.000 0.000 0.508
0.000 0.000 0.996
0.500 0.500 0.239
0.500 0.500 0.758
```

***

No. 2
Computed, not measured: an optimized crystal structure of YInHg at the PBEsol level of DFT.

Summary:
* crystal system: cubic
* calculated volume: 25.85 Å³/atom

Cell and atoms, written as POSCAR:
```
YInHg
1.0
-0.075 -2.591 -4.024
3.649 0.266 -3.086
2.977 -3.713 -0.512
In Y Hg
1 1 1
Direct
0.000 0.000 0.000
0.500 0.500 0.500
0.250 0.250 0.250
```

***

No. 3
Computed, not measured: an optimized crystal structure of YInHg at the PBEsol level of DFT.

Summary:
* crystal system: hexagonal
* calculated volume: 23.52 Å³/atom

Cell and atoms, written as POSCAR:
```
YInHg
1.0
-1.302 3.227 0.131
-2.448 -0.821 -4.091
-2.032 -0.994 4.276
Y Hg In
1 1 1
Direct
0.333 0.667 0.333
0.833 0.000 0.000
0.834 0.333 0.667
```

***

No. 4
Computed, not measured: an optimized crystal structure of Y2InHg at the PBEsol level of DFT.

Summary:
* crystal system: orthorhombic
* calculated volume: 25.15 Å³/atom

Cell and atoms, written as POSCAR:
```
Y2InHg
1.0
3.723 0.000 0.000
0.000 5.001 -0.048
-1.861 -2.446 5.427
Hg Y In
1 2 1
Direct
0.514 0.514 0.028
0.996 0.996 0.992
0.766 0.266 0.531
0.224 0.725 0.448
```

***

No. 5
Computed, not measured: an optimized crystal structure of YInHg at the PBEsol level of DFT.

Summary:
* crystal system: hexagonal
* calculated volume: 23.92 Å³/atom

Cell and atoms, written as POSCAR:
```
YInHg
1.0
4.749 0.000 0.000
-2.374 4.112 0.000
0.000 0.000 7.348
Hg In Y
2 2 2
Direct
0.333 0.667 0.513
0.667 0.333 0.013
0.333 0.667 0.924
0.667 0.333 0.424
0.000 0.000 0.704
0.000 0.000 0.204
```

***

No. 6
Computed, not measured: an optimized crystal structure of YIn2Hg at the PBEsol level of DFT.

Summary:
* crystal system: tetragonal
* calculated volume: 23.55 Å³/atom

Cell and atoms, written as POSCAR:
```
YIn2Hg
1.0
-3.005 -0.170 -3.307
2.415 -3.168 -2.032
-2.091 -1.650 5.009
In Y Hg
2 1 1
Direct
0.750 0.250 0.500
0.000 0.000 0.000
0.500 0.500 0.000
0.250 0.750 0.500
```

***

No. 7
Computed, not measured: an optimized crystal structure of YIn2Hg at the PBEsol level of DFT.

Summary:
* crystal system: tetragonal
* calculated volume: 23.02 Å³/atom

Cell and atoms, written as POSCAR:
```
YIn2Hg
1.0
4.489 -0.045 0.044
0.045 4.528 0.052
-0.045 -0.053 4.528
Y Hg In
1 1 2
Direct
0.500 0.000 0.000
0.500 0.500 0.500
0.000 0.500 0.000
0.000 0.000 0.500
```

***

No. 8
Computed, not measured: an optimized crystal structure of YIn2Hg2 at the PBEsol level of DFT.

Summary:
* crystal system: tetragonal
* calculated volume: 24.31 Å³/atom

Cell and atoms, written as POSCAR:
```
YIn2Hg2
1.0
-3.604 1.968 1.743
0.422 -2.487 3.680
5.144 4.555 -0.216
Hg In Y
2 2 1
Direct
0.750 0.250 0.500
0.250 0.750 0.500
0.391 0.391 0.783
0.609 0.609 0.217
0.000 0.000 0.000
```

***

No. 9
Computed, not measured: an optimized crystal structure of ZnInHg2 at the PBEsol level of DFT.

Summary:
* crystal system: trigonal
* calculated volume: 21.32 Å³/atom

Cell and atoms, written as POSCAR:
```
ZnInHg2
1.0
-0.915 -3.137 -0.723
1.472 -1.633 -2.523
6.288 -4.648 4.458
In Hg Zn
1 2 1
Direct
0.506 0.506 0.483
0.749 0.749 0.754
0.993 0.993 0.020
0.252 0.252 0.243
```

***

No. 10
Computed, not measured: an optimized crystal structure of ZnInHg2 at the PBEsol level of DFT.

Summary:
* crystal system: orthorhombic
* calculated volume: 21.94 Å³/atom

Cell and atoms, written as POSCAR:
```
ZnInHg2
1.0
3.717 0.000 0.000
0.000 5.378 0.000
-1.858 -2.689 4.389
Hg In Zn
2 1 1
Direct
0.770 0.770 0.540
0.230 0.230 0.460
0.000 0.500 0.000
0.500 0.000 0.000
```

***

No. 11
Computed, not measured: an optimized crystal structure of ZnIn2Hg at the PBEsol level of DFT.

Summary:
* crystal system: trigonal
* calculated volume: 22.14 Å³/atom

Cell and atoms, written as POSCAR:
```
ZnIn2Hg
1.0
-0.746 -0.160 3.345
-1.961 -2.547 1.200
6.191 -5.727 2.867
Zn Hg In
1 1 2
Direct
0.503 0.503 0.492
0.242 0.242 0.274
0.758 0.758 0.726
0.997 0.997 0.008
```

***

No. 12
Computed, not measured: an optimized crystal structure of ZnInHg2 at the PBEsol level of DFT.

Summary:
* crystal system: tetragonal
* calculated volume: 22.67 Å³/atom

Cell and atoms, written as POSCAR:
```
ZnInHg2
1.0
5.892 0.000 0.000
2.946 5.548 0.000
2.946 0.000 5.548
In Hg Zn
2 4 2
Direct
0.000 0.000 0.000
0.750 0.500 0.500
0.595 0.530 0.030
0.875 0.970 0.530
0.155 0.470 0.970
0.375 0.030 0.470
0.250 0.500 0.500
0.500 0.000 0.000
```

***

No. 13
Computed, not measured: an optimized crystal structure of Zn2InHg at the PBEsol level of DFT.

Summary:
* crystal system: monoclinic
* calculated volume: 19.21 Å³/atom

Cell and atoms, written as POSCAR:
```
Zn2InHg
1.0
-2.380 2.039 1.141
-1.410 -4.417 0.077
2.549 0.299 4.782
Hg Zn In
1 2 1
Direct
0.493 0.986 0.468
0.744 0.489 0.223
0.008 0.016 0.038
0.255 0.509 0.771
```

***

No. 14
Computed, not measured: an optimized crystal structure of ZnInHg2 at the PBEsol level of DFT.

Summary:
* crystal system: orthorhombic
* calculated volume: 22.10 Å³/atom

Cell and atoms, written as POSCAR:
```
ZnInHg2
1.0
-1.556 2.901 -0.225
-1.077 -0.240 4.342
6.391 1.502 -0.644
Zn In Hg
1 1 2
Direct
0.745 0.245 0.489
0.450 0.450 0.900
0.052 0.052 0.104
0.253 0.753 0.507
```

***

No. 15
Computed, not measured: an optimized crystal structure of ZnIn2Hg at the PBEsol level of DFT.

Summary:
* crystal system: orthorhombic
* calculated volume: 21.97 Å³/atom

Cell and atoms, written as POSCAR:
```
ZnIn2Hg
1.0
-2.943 1.303 -0.711
-0.307 -0.387 3.259
3.051 7.537 1.182
In Hg Zn
2 1 1
Direct
0.000 0.000 0.272
0.000 0.000 0.728
0.500 0.500 0.000
0.500 0.500 0.500
```

***

No. 16
Computed, not measured: an optimized crystal structure of ZnInHg2 at the PBEsol level of DFT.

Summary:
* crystal system: monoclinic
* calculated volume: 21.85 Å³/atom

Cell and atoms, written as POSCAR:
```
ZnInHg2
1.0
-2.561 -1.134 -2.085
-2.478 -0.598 3.367
-0.623 6.168 0.636
Hg Zn In
2 1 1
Direct
0.195 0.000 0.268
0.805 0.000 0.732
0.000 0.500 0.500
0.500 0.500 0.000
```

***

No. 17
Computed, not measured: an optimized crystal structure of ZnInHg2 at the PBEsol level of DFT.

Summary:
* crystal system: orthorhombic
* calculated volume: 22.00 Å³/atom

Cell and atoms, written as POSCAR:
```
ZnInHg2
1.0
-1.329 -1.683 -2.368
-1.315 -0.437 2.878
-6.059 7.151 -1.682
Hg In Zn
2 1 1
Direct
0.000 0.000 0.226
0.000 0.000 0.774
0.500 0.500 0.500
0.500 0.500 0.000
```

***

No. 18
Computed, not measured: an optimized crystal structure of Zn4InHg at the PBEsol level of DFT.

Summary:
* crystal system: cubic
* calculated volume: 17.28 Å³/atom

Cell and atoms, written as POSCAR:
```
Zn4InHg
1.0
5.273 0.000 0.000
2.637 4.567 0.000
2.637 1.522 4.305
Hg In Zn
1 1 4
Direct
0.750 0.750 0.750
0.000 0.000 0.000
0.375 0.375 0.875
0.375 0.375 0.375
0.375 0.875 0.375
0.875 0.375 0.375
```

***

No. 19
Computed, not measured: an optimized crystal structure of Zn2InHg at the PBEsol level of DFT.

Summary:
* crystal system: orthorhombic
* calculated volume: 19.07 Å³/atom

Cell and atoms, written as POSCAR:
```
Zn2InHg
1.0
-2.809 -2.862 1.026
1.186 0.385 4.320
-1.998 4.179 -2.163
Zn Hg In
2 1 1
Direct
0.752 0.752 0.505
0.248 0.248 0.495
0.500 0.000 0.000
0.000 0.500 0.000
```

***

No. 20
Computed, not measured: an optimized crystal structure of ZnIn2Hg at the PBEsol level of DFT.

Summary:
* crystal system: tetragonal
* calculated volume: 21.92 Å³/atom

Cell and atoms, written as POSCAR:
```
ZnIn2Hg
1.0
4.515 0.000 0.000
0.000 4.515 0.000
-2.258 -2.258 4.301
Hg In Zn
1 2 1
Direct
0.250 0.750 0.500
0.750 0.250 0.500
0.000 0.000 0.000
0.500 0.500 0.000
```

***

| no. | energy of formation (eV per atom) |
| --- | --- |
| 1 | -0.33 |
| 2 | -0.54 |
| 3 | -0.54 |
| 4 | -0.50 |
| 5 | -0.59 |
| 6 | -0.40 |
| 7 | -0.50 |
| 8 | -0.20 |
| 9 | 0.05 |
| 10 | 0.07 |
| 11 | 0.05 |
| 12 | 0.06 |
| 13 | 0.07 |
| 14 | 0.04 |
| 15 | 0.06 |
| 16 | 0.06 |
| 17 | 0.08 |
| 18 | 0.09 |
| 19 | 0.12 |
| 20 | 0.08 |